(1)
# LaBiNF2, single point on PBEsol structure, DFT SCAN
data_LaBiNF2
_cell_length_a 4.473
_cell_length_b 4.473
_cell_length_c 5.058
_cell_angle_alpha 90.00
_cell_angle_beta 90.00
_cell_angle_gamma 90.00
_symmetry_space_group_name_H-M 'P 4/m m m'
_symmetry_Int_Tables_number 123
_symmetry_space_group_name_Hall '-P 4 2'
loop_
_atom_site_label
_atom_site_fract_x
_atom_site_fract_y
_atom_site_fract_z
_atom_site_occupancy
La1 0.000 0.000 0.000 1
Bi1 0.500 0.500 0.500 1
N1 0.000 0.000 0.500 1
F1 0.000 0.500 0.000 1
# Volume ... 101.2 Å³/cell
# Magnetic moment ... 0.9 μB per formula unit
# Energy ... -29.228 eV/atom
# Formation energy from raw total energies ... -1.617 eV per atom

=====

(2)
# Li3BiF, single point on PBEsol structure, DFT SCAN
data_Li3BiF
_cell_length_a 4.229
_cell_length_b 4.229
_cell_length_c 4.229
_cell_angle_alpha 90.00
_cell_angle_beta 90.00
_cell_angle_gamma 90.00
_symmetry_space_group_name_H-M 'P m -3 m'
_symmetry_Int_Tables_number 221
_symmetry_space_group_name_Hall '-P 4 2 3'
loop_
_atom_site_label
_atom_site_fract_x
_atom_site_fract_y
_atom_site_fract_z
_atom_site_occupancy
Li1 0.000 0.000 0.500 1
Bi1 0.500 0.500 0.500 1
F1 0.000 0.000 0.000 1
# Volume ... 75.6 Å³/cell
# Magnetic moment ... 0.0 μB per formula unit
# Energy ... -19.287 eV/atom
# Formation energy from raw total energies ... -1.430 eV per atom

=====

(3)
# LiBiF4, single point on PBEsol structure, DFT SCAN
data_LiBiF4
_cell_length_a 5.271
_cell_length_b 5.271
_cell_length_c 11.145
_cell_angle_alpha 90.00
_cell_angle_beta 90.00
_cell_angle_gamma 90.00
_symmetry_space_group_name_H-M 'I 41/a'
_symmetry_Int_Tables_number 88
loop_
_symmetry_equiv_pos_as_xyz
'x,y,z'
'-x,-y,-z'
'-y+3/4,x+1/4,z+1/4'
'y+3/4,-x+1/4,-z+1/4'
'-x+1/2,-y,z+1/2'
'x+1/2,y,-z+1/2'
'y+3/4,-x+3/4,z+3/4'
'-y+3/4,x+3/4,-z+3/4'
'x+1/2,y+1/2,z+1/2'
'-x+1/2,-y+1/2,-z+1/2'
'-y+1/4,x+3/4,z+3/4'
'y+1/4,-x+3/4,-z+3/4'
'-x,-y+1/2,z'
'x,y+1/2,-z'
'y+1/4,-x+1/4,z+1/4'
'-y+1/4,x+1/4,-z+1/4'
loop_
_atom_site_label
_atom_site_fract_x
_atom_site_fract_y
_atom_site_fract_z
_atom_site_occupancy
Li1 0.000 0.250 0.125 1
Bi1 0.000 0.250 0.625 1
F1 0.159 0.475 0.795 1
# Volume ... 309.7 Å³/cell
# Magnetic moment ... 0.0 μB per formula unit
# Energy ... -18.540 eV/atom
# Formation energy from raw total energies ... -2.685 eV per atom